## P
Here is an optimized crystal structure of Eu2PBr from the Alexandria database. Energies are from PBE-GGA.

- calculated volume (A^3/atom) = 29.30
- D(E_F) (states/eV/cell) = 19.72

Structure (POSCAR):
```
Eu2PBr
1.0
7.687 0.000 0.000
6.477 4.140 0.000
6.477 1.893 3.682
Eu P Br
2 1 1
Direct
0.763 0.763 0.763
0.237 0.237 0.237
0.500 0.500 0.500
0.000 0.000 0.000
```

## Q
Here is an optimized crystal structure of Eu2PBr from the Alexandria database. Energies are from PBE-GGA.

- calculated volume (A^3/atom) = 26.63
- D(E_F) (states/eV/cell) = 1.12

Structure (POSCAR):
```
Eu2PBr
1.0
3.699 0.000 0.000
0.000 3.699 0.000
0.000 0.000 7.783
Eu P Br
2 1 1
Direct
0.000 0.000 0.794
0.000 0.000 0.206
0.500 0.500 0.000
0.500 0.500 0.500
```

Most stable of them? P.

## P
Here is an optimized crystal structure of Eu2PbBr from the Alexandria database. Energies are from PBE-GGA.

- calculated volume (A^3/atom) = 33.91
- D(E_F) (states/eV/cell) = 15.18

Structure (POSCAR):
```
Eu2PbBr
1.0
4.407 0.000 0.000
2.203 3.817 0.000
2.203 1.272 8.064
Pb Eu Br
1 2 1
Direct
0.000 0.000 0.000
0.752 0.752 0.744
0.248 0.248 0.256
0.500 0.500 0.500
```

## Q
Here is an optimized crystal structure of Eu2PbBr from the Alexandria database. Energies are from PBE-GGA.

- calculated volume (A^3/atom) = 31.10
- D(E_F) (states/eV/cell) = 1.30

Structure (POSCAR):
```
Eu2PbBr
1.0
3.794 0.000 0.000
0.000 3.794 0.000
0.000 0.000 8.641
Pb Eu Br
1 2 1
Direct
0.500 0.500 0.500
0.000 0.000 0.745
0.000 0.000 0.255
0.500 0.500 0.000
```

Most stable of them? P.

## P
Here is an optimized crystal structure of Eu2PdBr from the Alexandria database. Energies are from PBE-GGA.

- calculated volume (A^3/atom) = 27.02
- D(E_F) (states/eV/cell) = 12.09

Structure (POSCAR):
```
Eu2PdBr
1.0
-2.364 -2.801 0.024
0.681 -0.544 3.561
-5.962 5.048 1.910
Eu Br Pd
2 1 1
Direct
0.000 0.000 0.779
0.000 0.000 0.221
0.500 0.500 0.500
0.500 0.500 0.000
```

## Q
Here is an optimized crystal structure of Eu2PdBr from the Alexandria database. Energies are from PBE-GGA.

- calculated volume (A^3/atom) = 30.48
- D(E_F) (states/eV/cell) = 21.11

Structure (POSCAR):
```
Eu2PdBr
1.0
4.244 0.000 0.000
2.122 3.676 0.000
2.122 1.225 7.814
Eu Br Pd
2 1 1
Direct
0.738 0.738 0.785
0.262 0.262 0.215
0.500 0.500 0.500
0.000 0.000 0.000
```

Most stable of them? Q.

## P
Here is an optimized crystal structure of PmEu2Br from the Alexandria database. Energies are from PBE-GGA.

- calculated volume (A^3/atom) = 34.70
- D(E_F) (states/eV/cell) = 3.30

Structure (POSCAR):
```
PmEu2Br
1.0
-3.501 -0.935 0.715
1.113 -3.360 1.054
1.058 3.346 9.552
Eu Br Pm
2 1 1
Direct
0.000 0.000 0.778
0.000 0.000 0.222
0.500 0.500 0.000
0.500 0.500 0.500
```

## Q
Here is an optimized crystal structure of PmEu2Br from the Alexandria database. Energies are from PBE-GGA.

- calculated volume (A^3/atom) = 35.05
- D(E_F) (states/eV/cell) = 13.53

Structure (POSCAR):
```
PmEu2Br
1.0
-3.576 1.305 -0.654
-3.049 -2.214 0.849
-2.493 3.922 10.059
Eu Br Pm
2 1 1
Direct
0.739 0.739 0.784
0.261 0.261 0.216
0.000 0.000 0.000
0.500 0.500 0.500
```

Most stable of them? Q.